[1]
! PBE BaAcLu, relaxed; values from VASP
! Symmetry: F-43m, No. 216
! Total DFT energy (no corrections) in hartree per atom: -0.10421
! Energy above the most stable polymorph in this dataset in eV/f.u.: 0.000
&SYSTEM
  ibrav = 0, nat = 3, ntyp = 3
/
ATOMIC_SPECIES
Ac 227.00 Ac.upf
Ba 137.33 Ba.upf
Lu 174.97 Lu.upf
CELL_PARAMETERS angstrom
1.266 -1.673 5.618
-4.082 0.716 4.334
-2.711 -4.787 2.386
ATOMIC_POSITIONS crystal
Ac 0.250 0.250 0.250
Ba 0.750 0.750 0.750
Lu 0.000 0.000 0.000



[2]
! PBE BaAcMo, relaxed; values from VASP
! Symmetry: F-43m, No. 216
! Total DFT energy (no corrections) in hartree per atom: -0.16839
! Energy above the most stable polymorph in this dataset in eV/f.u.: 0.000
&SYSTEM
  ibrav = 0, nat = 3, ntyp = 3
/
ATOMIC_SPECIES
Ac 227.00 Ac.upf
Ba 137.33 Ba.upf
Mo 95.94 Mo.upf
CELL_PARAMETERS angstrom
-1.991 -4.731 1.670
-2.247 -0.407 4.891
-5.336 -0.668 0.472
ATOMIC_POSITIONS crystal
Ac 0.000 0.000 0.000
Ba 0.500 0.500 0.500
Mo 0.750 0.750 0.750



[3]
! PBE BaAcNb, relaxed; values from VASP
! Symmetry: F-43m, No. 216
! Total DFT energy (no corrections) in hartree per atom: -0.15891
! Energy above the most stable polymorph in this dataset in eV/f.u.: 0.000
&SYSTEM
  ibrav = 0, nat = 3, ntyp = 3
/
ATOMIC_SPECIES
Ac 227.00 Ac.upf
Ba 137.33 Ba.upf
Nb 92.91 Nb.upf
CELL_PARAMETERS angstrom
4.186 0.310 3.692
-0.510 -2.421 5.013
2.995 -4.560 1.220
ATOMIC_POSITIONS crystal
Ac 0.250 0.250 0.250
Ba 0.750 0.750 0.750
Nb 0.000 0.000 0.000



[4]
! PBE BaAc3Nb2, relaxed; values from VASP
! Symmetry: P6/mmm, No. 191
! Total DFT energy (no corrections) in hartree per atom: -0.18321
&SYSTEM
  ibrav = 0, nat = 6, ntyp = 3
/
ATOMIC_SPECIES
Ac 227.00 Ac.upf
Ba 137.33 Ba.upf
Nb 92.91 Nb.upf
CELL_PARAMETERS angstrom
4.139 -7.171 0.000
4.139 7.171 0.000
0.000 0.000 3.887
ATOMIC_POSITIONS crystal
Ac 0.500 0.000 0.500
Ac 0.000 0.500 0.500
Ac 0.500 0.500 0.500
Ba 0.000 0.000 0.000
Nb 0.667 0.333 0.000
Nb 0.333 0.667 0.000



[5]
! PBE BaAcNi, relaxed; values from VASP
! Symmetry: F-43m, No. 216
! Total DFT energy (no corrections) in hartree per atom: -0.13797
! Energy above the most stable polymorph in this dataset in eV/f.u.: 0.000
&SYSTEM
  ibrav = 0, nat = 3, ntyp = 3
/
ATOMIC_SPECIES
Ac 227.00 Ac.upf
Ba 137.33 Ba.upf
Ni 58.69 Ni.upf
CELL_PARAMETERS angstrom
0.000 3.727 3.727
3.727 0.000 3.727
3.727 3.727 0.000
ATOMIC_POSITIONS crystal
Ac 0.000 0.000 0.000
Ba 0.500 0.500 0.500
Ni 0.250 0.250 0.250



[6]
! PBE Ba2AcReO6, relaxed; values from VASP
! Symmetry: P-1, No. 2
! Total DFT energy (no corrections) in hartree per atom: -0.27511
&SYSTEM
  ibrav = 0, nat = 10, ntyp = 4
/
ATOMIC_SPECIES
Ac 227.00 Ac.upf
Ba 137.33 Ba.upf
O 16.00 O.upf
Re 186.21 Re.upf
CELL_PARAMETERS angstrom
6.082 0.000 0.000
3.015 5.302 0.000
2.955 1.761 5.084
ATOMIC_POSITIONS crystal
Ac 0.500 0.000 0.500
Ba 0.253 0.750 0.240
Ba 0.747 0.250 0.760
O 0.747 0.776 0.174
O 0.732 0.317 0.194
O 0.152 0.285 0.293
O 0.848 0.715 0.707
O 0.268 0.683 0.806
O 0.253 0.224 0.826
Re 0.000 0.500 0.000



no.,calculated density (g/cm³)
1,5.9
2,6.9
3,6.1
4,7.2
5,6.8
6,7.9